First-principles (PBE) data for Pr4In5Pt2 after structural relaxation, as listed in Alexandria.

Calculated values
Formation energy in eV per atom: -0.684
Energy in eV/atom: -4.76
Magnetization in μB/f.u.: 0.000
V in A^3/atom: 27.1
DOS at the Fermi energy in states/eV per atom: 0.6239

CIF file:
```
data_Pr4In5Pt2
_chemical_formula_sum 'Pr4 In5 Pt2'
_space_group_name_H-M_alt 'P 1 2/m 1'
_space_group_IT_number 10
_cell_length_a 7.8744
_cell_length_b 3.8109
_cell_length_c 9.9738
_cell_angle_alpha 90.00
_cell_angle_beta 94.31
_cell_angle_gamma 90.00
loop_
_space_group_symop_operation_xyz
'x,y,z'
'-x,-y,-z'
'-x,y,-z'
'x,-y,z'
loop_
_atom_site_label
_atom_site_type_symbol
_atom_site_fract_x
_atom_site_fract_y
_atom_site_fract_z
Pr1 Pr 0.1731 0.0000 0.3588
Pr2 Pr 0.2297 0.0000 0.9423
In1 In 0.1825 0.5000 0.6539
In2 In 0.4511 0.5000 0.1853
In3 In 0.5000 0.5000 0.5000
Pt1 Pt 0.0713 0.5000 0.1391
```